Entry 1:
# MgTlAu2

A crystal of MgTlAu2 relaxed with PBEsol (SCAN, Alexandria).

Properties
Formation energy   -0.365 eV/atom
Crystal system   tetragonal
N(E_F)   0.842 states/eV/f.u.

```
data_MgTlAu2
_space_group_name_H-M_alt 'P 1'
_space_group_IT_number 1
_cell_length_a 3.409
_cell_length_b 3.409
_cell_length_c 6.684
_cell_angle_alpha 89.99
_cell_angle_beta 90.00
_cell_angle_gamma 90.00
loop_
_space_group_symop_operation_xyz
'x,y,z'
loop_
_atom_site_label
_atom_site_type_symbol
_atom_site_fract_x
_atom_site_fract_y
_atom_site_fract_z
Tl1 Tl 0.500 0.500 0.000
Mg1 Mg 0.500 0.500 0.500
Au1 Au 0.000 0.000 0.715
Au2 Au 0.000 0.000 0.285
```


Entry 2:
# Mg2TlAu

A crystal of Mg2TlAu relaxed with PBEsol (SCAN, Alexandria).

Properties
Formation energy   -0.318 eV/atom
Crystal system   monoclinic
N(E_F)   1.479 states/eV/f.u.

```
data_Mg2TlAu
_space_group_name_H-M_alt 'P 1'
_space_group_IT_number 1
_cell_length_a 3.413
_cell_length_b 4.828
_cell_length_c 5.662
_cell_angle_alpha 103.05
_cell_angle_beta 90.00
_cell_angle_gamma 110.69
loop_
_space_group_symop_operation_xyz
'x,y,z'
loop_
_atom_site_label
_atom_site_type_symbol
_atom_site_fract_x
_atom_site_fract_y
_atom_site_fract_z
Au1 Au 0.500 0.000 0.000
Mg1 Mg 0.237 0.475 0.221
Mg2 Mg 0.763 0.525 0.779
Tl1 Tl 0.000 0.000 0.500
```


Entry 3:
# MgTlAu2

A crystal of MgTlAu2 relaxed with PBEsol (SCAN, Alexandria).

Properties
Formation energy   -0.312 eV/atom
Crystal system   monoclinic
N(E_F)   1.261 states/eV/f.u.

```
data_MgTlAu2
_space_group_name_H-M_alt 'P 1'
_space_group_IT_number 1
_cell_length_a 3.380
_cell_length_b 4.424
_cell_length_c 5.690
_cell_angle_alpha 90.00
_cell_angle_beta 108.56
_cell_angle_gamma 90.00
loop_
_space_group_symop_operation_xyz
'x,y,z'
loop_
_atom_site_label
_atom_site_type_symbol
_atom_site_fract_x
_atom_site_fract_y
_atom_site_fract_z
Tl1 Tl 0.211 0.500 0.809
Mg1 Mg 0.529 0.000 0.422
Au1 Au 0.801 0.000 0.975
Au2 Au 0.959 0.500 0.294
```


Entry 4:
# MgTlAu2

A crystal of MgTlAu2 relaxed with PBEsol (SCAN, Alexandria).

Properties
Formation energy   -0.249 eV/atom
Crystal system   tetragonal
N(E_F)   1.666 states/eV/f.u.

```
data_MgTlAu2
_space_group_name_H-M_alt 'P 1'
_space_group_IT_number 1
_cell_length_a 3.586
_cell_length_b 3.586
_cell_length_c 6.041
_cell_angle_alpha 90.00
_cell_angle_beta 90.00
_cell_angle_gamma 90.00
loop_
_space_group_symop_operation_xyz
'x,y,z'
loop_
_atom_site_label
_atom_site_type_symbol
_atom_site_fract_x
_atom_site_fract_y
_atom_site_fract_z
Mg1 Mg 0.000 0.000 0.461
Au1 Au 0.000 0.000 0.009
Au2 Au 0.500 0.500 0.264
Tl1 Tl 0.500 0.500 0.766
```


Entry 5:
# Mg2TlWAu

A crystal of Mg2TlWAu relaxed with PBEsol (SCAN, Alexandria).

Properties
Formation energy   1.360 eV/atom
Crystal system   tetragonal
N(E_F)   3.003 states/eV/f.u.

```
data_Mg2TlWAu
_space_group_name_H-M_alt 'P 1'
_space_group_IT_number 1
_cell_length_a 5.017
_cell_length_b 5.017
_cell_length_c 5.194
_cell_angle_alpha 90.00
_cell_angle_beta 90.00
_cell_angle_gamma 90.00
loop_
_space_group_symop_operation_xyz
'x,y,z'
loop_
_atom_site_label
_atom_site_type_symbol
_atom_site_fract_x
_atom_site_fract_y
_atom_site_fract_z
Mg1 Mg 0.000 0.500 0.000
Au1 Au 0.500 0.500 0.500
Tl1 Tl 0.000 0.000 0.000
Mg2 Mg 0.500 0.000 0.000
W1 W 0.000 0.000 0.500
```


Entry 6:
# TmMgAu

A crystal of TmMgAu relaxed with PBEsol (SCAN, Alexandria).

Properties
Formation energy   -0.909 eV/atom
Crystal system   hexagonal
N(E_F)   1.895 states/eV/f.u.

```
data_TmMgAu
_space_group_name_H-M_alt 'P 1'
_space_group_IT_number 1
_cell_length_a 3.990
_cell_length_b 7.454
_cell_length_c 7.454
_cell_angle_alpha 120.00
_cell_angle_beta 90.00
_cell_angle_gamma 90.00
loop_
_space_group_symop_operation_xyz
'x,y,z'
loop_
_atom_site_label
_atom_site_type_symbol
_atom_site_fract_x
_atom_site_fract_y
_atom_site_fract_z
Mg1 Mg 0.000 0.751 0.751
Au1 Au 0.000 0.667 0.333
Au2 Au 0.500 0.000 0.000
Tm1 Tm 0.500 0.589 0.000
Au3 Au 0.000 0.333 0.667
Mg2 Mg 0.000 0.249 0.000
Tm2 Tm 0.500 0.411 0.411
Tm3 Tm 0.500 0.000 0.589
Mg3 Mg 0.000 0.000 0.249
```


Entry 7:
# TmMgAu2

A crystal of TmMgAu2 relaxed with PBEsol (SCAN, Alexandria).

Properties
Formation energy   -0.988 eV/atom
Crystal system   cubic
N(E_F)   1.859 states/eV/f.u.

```
data_TmMgAu2
_space_group_name_H-M_alt 'P 1'
_space_group_IT_number 1
_cell_length_a 4.786
_cell_length_b 4.786
_cell_length_c 4.786
_cell_angle_alpha 60.00
_cell_angle_beta 60.00
_cell_angle_gamma 60.00
loop_
_space_group_symop_operation_xyz
'x,y,z'
loop_
_atom_site_label
_atom_site_type_symbol
_atom_site_fract_x
_atom_site_fract_y
_atom_site_fract_z
Au1 Au 0.250 0.250 0.250
Au2 Au 0.750 0.750 0.750
Mg1 Mg 0.500 0.500 0.500
Tm1 Tm 0.000 0.000 0.000
```


Entry 8:
# MgW2Au

A crystal of MgW2Au relaxed with PBEsol (SCAN, Alexandria).

Properties
Formation energy   0.359 eV/atom
Crystal system   orthorhombic
N(E_F)   2.861 states/eV/f.u.

```
data_MgW2Au
_space_group_name_H-M_alt 'P 1'
_space_group_IT_number 1
_cell_length_a 2.715
_cell_length_b 5.227
_cell_length_c 5.227
_cell_angle_alpha 119.37
_cell_angle_beta 90.00
_cell_angle_gamma 90.00
loop_
_space_group_symop_operation_xyz
'x,y,z'
loop_
_atom_site_label
_atom_site_type_symbol
_atom_site_fract_x
_atom_site_fract_y
_atom_site_fract_z
Mg1 Mg 0.500 0.500 0.500
W1 W 0.000 0.500 0.000
Au1 Au 0.500 0.000 0.000
W2 W 0.000 0.000 0.500
```


Entry 9:
# MgW2Au

A crystal of MgW2Au relaxed with PBEsol (SCAN, Alexandria).

Properties
Formation energy   0.171 eV/atom
Crystal system   orthorhombic
N(E_F)   1.132 states/eV/f.u.

```
data_MgW2Au
_space_group_name_H-M_alt 'P 1'
_space_group_IT_number 1
_cell_length_a 3.687
_cell_length_b 3.865
_cell_length_c 5.215
_cell_angle_alpha 111.75
_cell_angle_beta 110.70
_cell_angle_gamma 90.00
loop_
_space_group_symop_operation_xyz
'x,y,z'
loop_
_atom_site_label
_atom_site_type_symbol
_atom_site_fract_x
_atom_site_fract_y
_atom_site_fract_z
Au1 Au 0.500 0.000 0.000
Mg1 Mg 0.000 0.500 0.000
W1 W 0.750 0.750 0.499
W2 W 0.250 0.250 0.501
```


Entry 10:
# MgWAu2

A crystal of MgWAu2 relaxed with PBEsol (SCAN, Alexandria).

Properties
Formation energy   -0.063 eV/atom
Crystal system   tetragonal
N(E_F)   1.781 states/eV/f.u.

```
data_MgWAu2
_space_group_name_H-M_alt 'P 1'
_space_group_IT_number 1
_cell_length_a 2.842
_cell_length_b 2.842
_cell_length_c 8.134
_cell_angle_alpha 90.00
_cell_angle_beta 90.00
_cell_angle_gamma 90.00
loop_
_space_group_symop_operation_xyz
'x,y,z'
loop_
_atom_site_label
_atom_site_type_symbol
_atom_site_fract_x
_atom_site_fract_y
_atom_site_fract_z
Mg1 Mg 0.500 0.500 0.000
Au1 Au 0.000 0.000 0.748
Au2 Au 0.000 0.000 0.252
W1 W 0.500 0.500 0.500
```


Entry 11:
# Mg3WAu

A crystal of Mg3WAu relaxed with PBEsol (SCAN, Alexandria).

Properties
Formation energy   1.486 eV/atom
Crystal system   cubic
N(E_F)   3.437 states/eV/f.u.

```
data_Mg3WAu
_space_group_name_H-M_alt 'P 1'
_space_group_IT_number 1
_cell_length_a 5.157
_cell_length_b 5.157
_cell_length_c 5.157
_cell_angle_alpha 90.00
_cell_angle_beta 90.00
_cell_angle_gamma 90.00
loop_
_space_group_symop_operation_xyz
'x,y,z'
loop_
_atom_site_label
_atom_site_type_symbol
_atom_site_fract_x
_atom_site_fract_y
_atom_site_fract_z
Mg1 Mg 0.500 0.000 0.000
Mg2 Mg 0.000 0.000 0.500
Mg3 Mg 0.000 0.500 0.000
W1 W 0.000 0.000 0.000
Au1 Au 0.500 0.500 0.500
```


Entry 12:
# MgW2Au

A crystal of MgW2Au relaxed with PBEsol (SCAN, Alexandria).

Properties
Formation energy   0.317 eV/atom
Crystal system   trigonal
N(E_F)   2.477 states/eV/f.u.

```
data_MgW2Au
_space_group_name_H-M_alt 'P 1'
_space_group_IT_number 1
_cell_length_a 2.814
_cell_length_b 2.814
_cell_length_c 9.720
_cell_angle_alpha 81.68
_cell_angle_beta 81.68
_cell_angle_gamma 60.00
loop_
_space_group_symop_operation_xyz
'x,y,z'
loop_
_atom_site_label
_atom_site_type_symbol
_atom_site_fract_x
_atom_site_fract_y
_atom_site_fract_z
W1 W 0.001 0.001 0.998
Au1 Au 0.501 0.501 0.498
W2 W 0.750 0.750 0.749
Mg1 Mg 0.248 0.248 0.255
```


Entry 13:
# Mg2WAu

A crystal of Mg2WAu relaxed with PBEsol (SCAN, Alexandria).

Properties
Formation energy   0.341 eV/atom
Crystal system   tetragonal
N(E_F)   2.385 states/eV/f.u.

```
data_Mg2WAu
_space_group_name_H-M_alt 'P 1'
_space_group_IT_number 1
_cell_length_a 4.023
_cell_length_b 4.023
_cell_length_c 5.050
_cell_angle_alpha 113.47
_cell_angle_beta 113.47
_cell_angle_gamma 90.00
loop_
_space_group_symop_operation_xyz
'x,y,z'
loop_
_atom_site_label
_atom_site_type_symbol
_atom_site_fract_x
_atom_site_fract_y
_atom_site_fract_z
Au1 Au 0.250 0.750 0.500
Mg1 Mg 0.750 0.250 0.500
W1 W 0.500 0.500 0.000
Mg2 Mg 0.000 0.000 0.000
```


Entry 14:
# MgW2Au

A crystal of MgW2Au relaxed with PBEsol (SCAN, Alexandria).

Properties
Formation energy   0.313 eV/atom
Crystal system   monoclinic
N(E_F)   2.229 states/eV/f.u.

```
data_MgW2Au
_space_group_name_H-M_alt 'P 1'
_space_group_IT_number 1
_cell_length_a 2.681
_cell_length_b 4.828
_cell_length_c 5.270
_cell_angle_alpha 94.53
_cell_angle_beta 90.00
_cell_angle_gamma 106.12
loop_
_space_group_symop_operation_xyz
'x,y,z'
loop_
_atom_site_label
_atom_site_type_symbol
_atom_site_fract_x
_atom_site_fract_y
_atom_site_fract_z
W1 W 0.002 0.003 0.017
W2 W 0.758 0.515 0.226
Au1 Au 0.496 0.992 0.522
Mg1 Mg 0.245 0.489 0.736
```


Entry 15:
# Mg2WAu

A crystal of Mg2WAu relaxed with PBEsol (SCAN, Alexandria).

Properties
Formation energy   0.357 eV/atom
Crystal system   cubic
N(E_F)   1.292 states/eV/f.u.

```
data_Mg2WAu
_space_group_name_H-M_alt 'P 1'
_space_group_IT_number 1
_cell_length_a 4.616
_cell_length_b 4.616
_cell_length_c 4.616
_cell_angle_alpha 60.00
_cell_angle_beta 60.00
_cell_angle_gamma 60.00
loop_
_space_group_symop_operation_xyz
'x,y,z'
loop_
_atom_site_label
_atom_site_type_symbol
_atom_site_fract_x
_atom_site_fract_y
_atom_site_fract_z
W1 W 0.250 0.250 0.250
Mg1 Mg 0.000 0.000 0.000
Au1 Au 0.500 0.500 0.500
Mg2 Mg 0.750 0.750 0.750
```


Entry 16:
# YMgAu

A crystal of YMgAu relaxed with PBEsol (SCAN, Alexandria).

Properties
Formation energy   -0.086 eV/atom
Crystal system   cubic
N(E_F)   2.876 states/eV/f.u.

```
data_YMgAu
_space_group_name_H-M_alt 'P 1'
_space_group_IT_number 1
_cell_length_a 4.803
_cell_length_b 4.803
_cell_length_c 4.803
_cell_angle_alpha 60.00
_cell_angle_beta 60.00
_cell_angle_gamma 60.00
loop_
_space_group_symop_operation_xyz
'x,y,z'
loop_
_atom_site_label
_atom_site_type_symbol
_atom_site_fract_x
_atom_site_fract_y
_atom_site_fract_z
Y1 Y 0.250 0.250 0.250
Mg1 Mg 0.500 0.500 0.500
Au1 Au 0.000 0.000 0.000
```


Entry 17:
# Y2MgAu

A crystal of Y2MgAu relaxed with PBEsol (SCAN, Alexandria).

Properties
Formation energy   -0.355 eV/atom
Crystal system   trigonal
N(E_F)   3.248 states/eV/f.u.

```
data_Y2MgAu
_space_group_name_H-M_alt 'P 1'
_space_group_IT_number 1
_cell_length_a 3.569
_cell_length_b 3.569
_cell_length_c 9.673
_cell_angle_alpha 79.37
_cell_angle_beta 79.37
_cell_angle_gamma 60.00
loop_
_space_group_symop_operation_xyz
'x,y,z'
loop_
_atom_site_label
_atom_site_type_symbol
_atom_site_fract_x
_atom_site_fract_y
_atom_site_fract_z
Y1 Y 0.765 0.765 0.706
Mg1 Mg 0.234 0.234 0.297
Au1 Au 0.504 0.504 0.487
Y2 Y 0.997 0.997 0.010
```


Entry 18:
# YMg2Au2

A crystal of YMg2Au2 relaxed with PBEsol (SCAN, Alexandria).

Properties
Formation energy   -0.854 eV/atom
Crystal system   tetragonal
N(E_F)   2.678 states/eV/f.u.

```
data_YMg2Au2
_space_group_name_H-M_alt 'P 1'
_space_group_IT_number 1
_cell_length_a 4.046
_cell_length_b 4.046
_cell_length_c 6.997
_cell_angle_alpha 106.80
_cell_angle_beta 106.80
_cell_angle_gamma 90.00
loop_
_space_group_symop_operation_xyz
'x,y,z'
loop_
_atom_site_label
_atom_site_type_symbol
_atom_site_fract_x
_atom_site_fract_y
_atom_site_fract_z
Mg1 Mg 0.750 0.250 0.500
Au1 Au 0.606 0.606 0.212
Au2 Au 0.394 0.394 0.788
Y1 Y 0.000 0.000 0.000
Mg2 Mg 0.250 0.750 0.500
```


Entry 19:
# Y2MgAu

A crystal of Y2MgAu relaxed with PBEsol (SCAN, Alexandria).

Properties
Formation energy   -0.637 eV/atom
Crystal system   tetragonal
N(E_F)   2.779 states/eV/f.u.

```
data_Y2MgAu
_space_group_name_H-M_alt 'P 1'
_space_group_IT_number 1
_cell_length_a 3.656
_cell_length_b 3.656
_cell_length_c 7.198
_cell_angle_alpha 90.00
_cell_angle_beta 90.00
_cell_angle_gamma 90.00
loop_
_space_group_symop_operation_xyz
'x,y,z'
loop_
_atom_site_label
_atom_site_type_symbol
_atom_site_fract_x
_atom_site_fract_y
_atom_site_fract_z
Au1 Au 0.500 0.500 0.000
Mg1 Mg 0.500 0.500 0.500
Y1 Y 0.000 0.000 0.232
Y2 Y 0.000 0.000 0.768
```


Entry 20:
# YMgAu

A crystal of YMgAu relaxed with PBEsol (SCAN, Alexandria).

Properties
Formation energy   -0.939 eV/atom
Crystal system   hexagonal
N(E_F)   2.053 states/eV/f.u.

```
data_YMgAu
_space_group_name_H-M_alt 'P 1'
_space_group_IT_number 1
_cell_length_a 4.041
_cell_length_b 7.524
_cell_length_c 7.524
_cell_angle_alpha 120.00
_cell_angle_beta 90.00
_cell_angle_gamma 90.00
loop_
_space_group_symop_operation_xyz
'x,y,z'
loop_
_atom_site_label
_atom_site_type_symbol
_atom_site_fract_x
_atom_site_fract_y
_atom_site_fract_z
Au1 Au 0.000 0.667 0.333
Y1 Y 0.500 0.000 0.588
Y2 Y 0.500 0.588 0.000
Mg1 Mg 0.000 0.753 0.753
Mg2 Mg 0.000 0.247 0.000
Y3 Y 0.500 0.412 0.412
Au2 Au 0.000 0.333 0.667
Mg3 Mg 0.000 0.000 0.247
Au3 Au 0.500 0.000 0.000
```